Record 1
The following is a DFT calculation (PBE) of a relaxed structure of LiMgZr2.

Values from the calculation:
- ΔE_f (eV per atom) = 0.153

a = 2.9544 Å, b = 2.9544 Å, c = 11.1331 Å
α = 90.00°, β = 90.00°, γ = 115.87°
Last column: nearest neighbours and their distance in Å.
Element x y z (fractional)
Li1 0.0000 0.0000 0.0000  6 Li 2.95-3.14, 4 Zr 3.23
Mg1 0.0000 0.0000 0.5000  6 Mg 2.95-3.14, 4 Zr 3.16
Zr1 0.5000 0.5000 0.2532  6 Zr 2.95-3.14, 2 Mg 3.16, 2 Li 3.23
Zr2 0.5000 0.5000 0.7468  6 Zr 2.95-3.14, 2 Mg 3.16, 2 Li 3.23

---

Record 2
The following is a DFT calculation (PBE) of a relaxed structure of Pm2Tm3Co.

Values from the calculation:
- ΔE_f (eV per atom) = -0.071

a = 9.5862 Å, b = 9.5862 Å, c = 7.4654 Å
α = 101.21°, β = 101.21°, γ = 31.35°
Last column: nearest neighbours and their distance in Å.
Element x y z (fractional)
Pm1 0.1978 0.1976 0.3488  6 Tm 3.57-3.64, 6 Pm 3.71-3.73
Pm2 0.1976 0.1978 0.8488  6 Tm 3.57-3.64, 6 Pm 3.71-3.73
Pm3 0.8024 0.8022 0.1512  6 Tm 3.57-3.64, 6 Pm 3.71-3.73
Pm4 0.8022 0.8024 0.6512  6 Tm 3.57-3.64, 6 Pm 3.71-3.73
Tm1 0.0009 0.9991 0.7500  2 Co 2.59
Tm2 0.3989 0.3989 0.4496  2 Co 2.61
Tm3 0.3989 0.3989 0.9496  2 Co 2.61
Tm4 0.6011 0.6011 0.0504  2 Co 2.61
Tm5 0.6011 0.6011 0.5504  2 Co 2.61
Tm6 0.9991 0.0009 0.2500  2 Co 2.59
Co1 0.4989 0.5011 0.2500  6 Tm 2.59-2.61
Co2 0.5011 0.4989 0.7500  6 Tm 2.59-2.61

---

Record 3
The following is a DFT calculation (PBE) of a relaxed structure of CeUCoRu.

Values from the calculation:
- ΔE_f (eV per atom) = -0.113

a = 4.5746 Å, b = 4.5746 Å, c = 4.5746 Å
α = 60.00°, β = 60.00°, γ = 60.00°
Last column: nearest neighbours and their distance in Å.
Element x y z (fractional)
Ce1 0.0000 0.0000 0.0000  4 U 2.80, 4 Co 2.80
U1 0.7500 0.7500 0.7500  4 Ce 2.80, 4 Ru 2.80
Co1 0.2500 0.2500 0.2500  4 Ce 2.80, 4 Ru 2.80
Ru1 0.5000 0.5000 0.5000  4 Co 2.80, 4 U 2.80

---

Ordered E results: -0.1837 -0.1865 -0.3129; unit Ha/atom.